[1]
A relaxed structure of TaNbIO2, computed with PBE.

relative energy among the computed polymorphs: 0.000 kcal/mol of atoms
raw formation energy: -0.627 eV/atom
Fermi-level density of states: 0.83 states/eV per atom
SG: No. 123
uncorrected energy: -7.3052 eV per atom
spin magnetization: 3.35 μB/f.u.

Lattice parameters (Å, degrees): 3.9744 3.9744 6.2814 90.00 90.00 90.00
Fractional coordinates of all 5 atoms:
1 Ta 0.0000 0.0000 0.0000
2 Nb 0.5000 0.5000 0.5000
3 I 0.0000 0.0000 0.5000
4 O 0.0000 0.5000 0.0000
5 O 0.5000 0.0000 0.0000

[2]
A relaxed structure of TaNbIO2, computed with PBE.

relative energy among the computed polymorphs: 8.608 kcal/mol of atoms
raw formation energy: -0.254 eV/atom
Fermi-level density of states: 1.02 states/eV per atom
SG: No. 123
uncorrected energy: -6.9319 eV per atom
spin magnetization: 3.26 μB/f.u.

Lattice parameters (Å, degrees): 3.9948 3.9948 6.2593 90.00 90.00 90.00
Fractional coordinates of all 5 atoms:
1 Ta 0.0000 0.0000 0.0000
2 Nb 0.5000 0.5000 0.5000
3 I 0.5000 0.5000 0.0000
4 O 0.0000 0.5000 0.5000
5 O 0.5000 0.0000 0.5000

[3]
A relaxed structure of NbTcIO2, computed with PBE.

relative energy among the computed polymorphs: 0.000 kcal/mol of atoms
raw formation energy: -0.476 eV/atom
Fermi-level density of states: 0.82 states/eV per atom
SG: No. 123
uncorrected energy: -6.8562 eV per atom
spin magnetization: 2.80 μB/f.u.

Lattice parameters (Å, degrees): 3.9580 3.9580 6.1284 90.00 90.00 90.00
Fractional coordinates of all 5 atoms:
1 Nb 0.0000 0.0000 0.0000
2 Tc 0.5000 0.5000 0.5000
3 I 0.0000 0.0000 0.5000
4 O 0.0000 0.5000 0.0000
5 O 0.5000 0.0000 0.0000

[4]
A relaxed structure of NbTcIO2, computed with PBE.

relative energy among the computed polymorphs: 11.627 kcal/mol of atoms
raw formation energy: 0.028 eV/atom
Fermi-level density of states: 0.76 states/eV per atom
SG: No. 123
uncorrected energy: -6.3520 eV per atom
spin magnetization: 2.86 μB/f.u.

Lattice parameters (Å, degrees): 3.8864 3.8864 6.2654 90.00 90.00 90.00
Fractional coordinates of all 5 atoms:
1 Nb 0.0000 0.0000 0.0000
2 Tc 0.5000 0.5000 0.5000
3 I 0.5000 0.5000 0.0000
4 O 0.0000 0.5000 0.5000
5 O 0.5000 0.0000 0.5000

[5]
A relaxed structure of TiNbI2O, computed with PBE.

relative energy among the computed polymorphs: 4.728 kcal/mol of atoms
raw formation energy: -0.148 eV/atom
Fermi-level density of states: 1.85 states/eV per atom
SG: No. 123
uncorrected energy: -5.3522 eV per atom
spin magnetization: 0.83 μB/f.u.

Lattice parameters (Å, degrees): 5.7488 5.7488 3.8784 90.00 90.00 90.00
Fractional coordinates of all 5 atoms:
1 Ti 0.0000 0.0000 0.0000
2 Nb 0.5000 0.5000 0.5000
3 I 0.0000 0.5000 0.5000
4 I 0.5000 0.0000 0.5000
5 O 0.5000 0.5000 0.0000

[6]
A relaxed structure of TiNbIO2, computed with PBE.

relative energy among the computed polymorphs: 0.000 kcal/mol of atoms
raw formation energy: -0.877 eV/atom
Fermi-level density of states: 0.94 states/eV per atom
SG: No. 123
uncorrected energy: -6.7634 eV per atom
spin magnetization: 2.10 μB/f.u.

Lattice parameters (Å, degrees): 4.0099 4.0099 5.9980 90.00 90.00 90.00
Fractional coordinates of all 5 atoms:
1 Ti 0.0000 0.0000 0.0000
2 Nb 0.5000 0.5000 0.5000
3 I 0.5000 0.5000 0.0000
4 O 0.0000 0.5000 0.5000
5 O 0.5000 0.0000 0.5000

[7]
A relaxed structure of TiNbIO2, computed with PBE.

relative energy among the computed polymorphs: 2.912 kcal/mol of atoms
raw formation energy: -0.751 eV/atom
Fermi-level density of states: 0.52 states/eV per atom
SG: No. 123
uncorrected energy: -6.6371 eV per atom
spin magnetization: 3.17 μB/f.u.

Lattice parameters (Å, degrees): 3.9388 3.9388 5.7805 90.00 90.00 90.00
Fractional coordinates of all 5 atoms:
1 Ti 0.0000 0.0000 0.0000
2 Nb 0.5000 0.5000 0.5000
3 I 0.0000 0.0000 0.5000
4 O 0.0000 0.5000 0.0000
5 O 0.5000 0.0000 0.0000

[8]
A relaxed structure of TiNbI2O, computed with PBE.

relative energy among the computed polymorphs: 0.000 kcal/mol of atoms
raw formation energy: -0.353 eV/atom
Fermi-level density of states: 1.15 states/eV per atom
SG: No. 123
uncorrected energy: -5.5572 eV per atom
spin magnetization: 3.51 μB/f.u.

Lattice parameters (Å, degrees): 5.6253 5.6253 3.7065 90.00 90.00 90.00
Fractional coordinates of all 5 atoms:
1 Ti 0.0000 0.0000 0.0000
2 Nb 0.5000 0.5000 0.5000
3 I 0.0000 0.5000 0.0000
4 I 0.5000 0.0000 0.0000
5 O 0.0000 0.0000 0.5000

[9]
A relaxed structure of NbTlIO6, computed with PBE.

raw formation energy: -1.188 eV/atom
Fermi-level density of states: 0.18 states/eV per atom
SG: No. 5
uncorrected energy: -6.0476 eV per atom
spin magnetization: 0.00 μB/f.u.

Lattice parameters (Å, degrees): 5.4595 5.4595 6.2095 90.04 90.04 119.50
Fractional coordinates of all 9 atoms:
1 Nb 0.0000 0.0000 0.0000
2 Tl 0.3292 0.6708 0.5000
3 I 0.6642 0.3358 0.0000
4 O 0.3255 0.2484 0.1897
5 O 0.3357 0.0799 0.8114
6 O 0.7149 0.0649 0.1752
7 O 0.7516 0.6745 0.8103
8 O 0.9201 0.6643 0.1886
9 O 0.9351 0.2851 0.8248

[10]
A relaxed structure of NbTlI2O, computed with PBE.

relative energy among the computed polymorphs: 0.000 kcal/mol of atoms
raw formation energy: -0.818 eV/atom
Fermi-level density of states: 0.34 states/eV per atom
SG: No. 123
uncorrected energy: -4.9169 eV per atom
spin magnetization: 1.94 μB/f.u.

Lattice parameters (Å, degrees): 6.0226 6.0226 3.9801 90.00 90.00 90.00
Fractional coordinates of all 5 atoms:
1 Nb 0.0000 0.0000 0.0000
2 Tl 0.5000 0.5000 0.5000
3 I 0.0000 0.5000 0.0000
4 I 0.5000 0.0000 0.0000
5 O 0.0000 0.0000 0.5000

[11]
A relaxed structure of NbTlI2O, computed with PBE.

relative energy among the computed polymorphs: 51.152 kcal/mol of atoms
raw formation energy: 1.400 eV/atom
Fermi-level density of states: 4.27 states/eV per atom
SG: No. 123
uncorrected energy: -2.6988 eV per atom
spin magnetization: 4.80 μB/f.u.

Lattice parameters (Å, degrees): 6.1495 6.1495 5.6793 90.00 90.00 90.00
Fractional coordinates of all 5 atoms:
1 Nb 0.0000 0.0000 0.0000
2 Tl 0.0000 0.0000 0.5000
3 I 0.0000 0.5000 0.5000
4 I 0.5000 0.0000 0.5000
5 O 0.5000 0.5000 0.0000

[12]
A relaxed structure of NbTlIO2, computed with PBE.

relative energy among the computed polymorphs: 37.336 kcal/mol of atoms
raw formation energy: 0.585 eV/atom
Fermi-level density of states: 0.94 states/eV per atom
SG: No. 123
uncorrected energy: -4.1956 eV per atom
spin magnetization: 3.07 μB/f.u.

Lattice parameters (Å, degrees): 4.2726 4.2726 6.1891 90.00 90.00 90.00
Fractional coordinates of all 5 atoms:
1 Nb 0.0000 0.0000 0.0000
2 Tl 0.5000 0.5000 0.5000
3 I 0.5000 0.5000 0.0000
4 O 0.0000 0.5000 0.5000
5 O 0.5000 0.0000 0.5000

[13]
A relaxed structure of NbTlI2O, computed with PBE.

relative energy among the computed polymorphs: 32.083 kcal/mol of atoms
raw formation energy: 0.573 eV/atom
Fermi-level density of states: 0.65 states/eV per atom
SG: No. 123
uncorrected energy: -3.5257 eV per atom
spin magnetization: 3.68 μB/f.u.

Lattice parameters (Å, degrees): 6.0994 6.0994 4.0605 90.00 90.00 90.00
Fractional coordinates of all 5 atoms:
1 Nb 0.0000 0.0000 0.0000
2 Tl 0.5000 0.5000 0.5000
3 I 0.0000 0.5000 0.5000
4 I 0.5000 0.0000 0.5000
5 O 0.5000 0.5000 0.0000

[14]
A relaxed structure of NbTlIO2, computed with PBE.

relative energy among the computed polymorphs: 0.000 kcal/mol of atoms
raw formation energy: -1.034 eV/atom
Fermi-level density of states: 0.25 states/eV per atom
SG: No. 123
uncorrected energy: -5.8146 eV per atom
spin magnetization: 0.94 μB/f.u.

Lattice parameters (Å, degrees): 4.2269 4.2269 5.8853 90.00 90.00 90.00
Fractional coordinates of all 5 atoms:
1 Nb 0.0000 0.0000 0.0000
2 Tl 0.5000 0.5000 0.5000
3 I 0.0000 0.0000 0.5000
4 O 0.0000 0.5000 0.0000
5 O 0.5000 0.0000 0.0000